(i)
Here is an optimized crystal structure of PuIn2Hg6 from Alexandria via LeMat-Bulk. Energies are from PBE.

ρ   12.122 g cm⁻³
Space group   C2/m (12)
N(E_F)   1.64 states/eV per atom

POSCAR file:
```
PuIn2Hg6
1.0
-1.493 0.086 -4.843
4.683 -1.947 -4.131
-3.134 -7.058 -1.812
In Hg Pu
2 6 1
Direct
0.309 0.878 0.503 In
0.691 0.122 0.497 In
0.979 0.186 0.856 Hg
0.335 0.185 0.145 Hg
0.665 0.815 0.855 Hg
0.643 0.503 0.211 Hg
0.357 0.497 0.789 Hg
0.021 0.814 0.144 Hg
0.000 0.500 0.500 Pu
```

=====

(ii)
Here is an optimized crystal structure of PuIn2Hg6 from Alexandria via LeMat-Bulk. Energies are from PBE.

ρ   12.020 g cm⁻³
Space group   C2/m (12)
N(E_F)   1.81 states/eV per atom

POSCAR file:
```
PuIn2Hg6
1.0
4.917 0.029 0.760
2.055 5.725 2.100
-0.096 0.566 8.410
Hg In Pu
6 2 1
Direct
0.175 0.505 0.834 Hg
0.322 0.352 0.500 Hg
0.175 0.839 0.166 Hg
0.825 0.495 0.166 Hg
0.678 0.648 0.500 Hg
0.825 0.161 0.834 Hg
0.500 0.158 0.183 In
0.500 0.842 0.817 In
0.000 0.000 0.500 Pu
```

=====

Relative stability in meV/atom, measured from the most stable structure: (i) 0; (ii) 13

=====

(i)
Here is an optimized crystal structure of Pu2InHg3 from Alexandria via LeMat-Bulk. Energies are from PBE.

ρ   13.231 g cm⁻³
Space group   P6_3/mmc (194)
N(E_F)   2.81 states/eV per atom

POSCAR file:
```
Pu2InHg3
1.0
6.136 0.000 0.000
-3.068 5.314 0.000
0.000 0.000 9.273
Pu Hg In
4 6 2
Direct
0.333 0.667 0.937 Pu
0.333 0.667 0.563 Pu
0.667 0.333 0.063 Pu
0.667 0.333 0.437 Pu
0.347 0.173 0.750 Hg
0.827 0.653 0.750 Hg
0.827 0.173 0.750 Hg
0.173 0.347 0.250 Hg
0.653 0.827 0.250 Hg
0.173 0.827 0.250 Hg
0.000 0.000 0.500 In
0.000 0.000 0.000 In
```

=====

(ii)
Here is an optimized crystal structure of Pu2InHg3 from Alexandria via LeMat-Bulk. Energies are from PBE.

ρ   12.998 g cm⁻³
Space group   Imm2 (44)
N(E_F)   2.16 states/eV per atom

POSCAR file:
```
Pu2InHg3
1.0
3.139 0.000 -0.835
-0.235 3.105 -0.882
2.161 2.579 14.433
Hg Pu In
3 2 1
Direct
0.706 0.706 0.411 Hg
0.294 0.794 0.587 Hg
0.544 0.544 0.088 Hg
0.875 0.375 0.749 Pu
0.125 0.125 0.249 Pu
0.457 0.957 0.914 In
```

=====

Relative stability in meV/atom, measured from the most stable structure: (i) 5; (ii) 0

=====

(i)
Here is an optimized crystal structure of PuInHgSb from Alexandria via LeMat-Bulk. Energies are from PBE.

ρ   11.081 g cm⁻³
Space group   Pmmm (47)
N(E_F)   2.59 states/eV per atom

POSCAR file:
```
PuInHgSb
1.0
-0.971 -4.170 1.447
1.868 -1.702 -3.651
4.483 -0.214 2.393
Pu In Sb Hg
1 1 1 1
Direct
0.500 0.000 0.500 Pu
0.000 0.000 0.000 In
0.000 0.500 0.500 Sb
0.500 0.500 0.000 Hg
```

=====

(ii)
Here is an optimized crystal structure of PuInHgSb from Alexandria via LeMat-Bulk. Energies are from PBE.

ρ   10.581 g cm⁻³
Space group   F-43m (216)
N(E_F)   3.08 states/eV per atom

POSCAR file:
```
PuInHgSb
1.0
-0.871 -3.620 -3.810
3.522 -3.914 -0.810
-1.237 -5.011 1.319
Sb In Pu Hg
1 1 1 1
Direct
0.750 0.750 0.750 Sb
0.000 0.000 0.000 In
0.500 0.500 0.500 Pu
0.250 0.250 0.250 Hg
```

=====

Relative stability in meV/atom, measured from the most stable structure: (i) 0; (ii) 160

=====

(i)
Here is an optimized crystal structure of PuZrInHg from Alexandria via LeMat-Bulk. Energies are from PBE.

ρ   11.567 g cm⁻³
Space group   P4mm (99)
N(E_F)   1.87 states/eV per atom

POSCAR file:
```
PuZrInHg
1.0
-1.294 -1.296 2.600
2.663 -1.665 0.495
3.370 6.911 5.121
Zr In Hg Pu
1 1 1 1
Direct
0.000 0.000 0.574 Zr
0.500 0.500 0.337 In
0.500 0.500 0.806 Hg
0.000 0.000 0.069 Pu
```

=====

(ii)
Here is an optimized crystal structure of PuZrInHg from Alexandria via LeMat-Bulk. Energies are from PBE.

ρ   10.955 g cm⁻³
Space group   F-43m (216)
N(E_F)   2.51 states/eV per atom

POSCAR file:
```
PuZrInHg
1.0
-2.913 2.740 -3.301
-4.257 -2.115 -2.072
-4.692 1.666 1.450
Zr In Pu Hg
1 1 1 1
Direct
0.000 0.000 0.000 Zr
0.250 0.250 0.250 In
0.500 0.500 0.500 Pu
0.750 0.750 0.750 Hg
```

=====

Relative stability in meV/atom, measured from the most stable structure: (i) 0; (ii) 135